VASP calculation (PBE-GGA) on an optimized crystal structure of PrDyPu2S4.

V: 178.6 Å³/cell
uncorrected formation energy: -1.90 eV per atom
final energy: -8.72 eV per atom

Unit cell a=6.897 b=3.972 c=6.910 alpha=90.00 beta=109.33 gamma=90.00
Space group P2/m (No. 10)
Symmetry-distinct sites (fractional):
Pr (0.000, 0.000, 0.000) [1 per cell]
Dy (0.500, 0.500, 0.000) [1 per cell]
Pu (0.000, 0.500, 0.500) [1 per cell]
Pu (0.500, 0.000, 0.500) [1 per cell]
S (0.257, 0.000, 0.749) [2 per cell]
S (0.260, 0.500, 0.258) [2 per cell]

VASP calculation (PBE-GGA) on an optimized crystal structure of TiZnBi.

calculated formation energy: 0.60 eV/f.u.
V: 64.2 Å³/cell
final energy: -4.15 eV per atom

Unit cell a=4.4284 b=4.4284 c=3.7822 alpha=90.00 beta=90.00 gamma=120.00
Space group P3m1 (No. 156)
Symmetry-distinct sites (fractional):
Ti (0.0000, 0.0000, 0.0000) [1 per cell]
Zn (0.3333, 0.6667, 0.8641) [1 per cell]
Bi (0.6667, 0.3333, 0.4610) [1 per cell]

VASP calculation (PBE-GGA) on an optimized crystal structure of AcDyN2.

V: 214.7 Å³/cell
E above lowest polymorph: 214 meV per atom
uncorrected formation energy: -1.07 eV per atom
final energy: -7.41 eV per atom

Unit cell a=3.6078 b=3.6078 c=19.0492 alpha=90.00 beta=90.00 gamma=120.00
Space group R3m (No. 160, hexagonal axes)
Symmetry-distinct sites (fractional):
Ac (0.0000, 0.0000, 0.0000) [3 per cell]
Dy (0.0000, 0.0000, 0.8301) [3 per cell]
N (0.0000, 0.0000, 0.4096) [3 per cell]
N (0.0000, 0.0000, 0.5636) [3 per cell]

VASP calculation (PBE-GGA) on an optimized crystal structure of Hg2PbF.

V: 379.8 Å³/cell
E above lowest polymorph: 139 meV per atom
uncorrected formation energy: -0.46 eV per atom
final energy: -2.00 eV per atom

Unit cell a=7.242 b=7.242 c=7.242 alpha=90.00 beta=90.00 gamma=90.00
Space group Fm-3m (No. 225)
Symmetry-distinct sites (fractional):
Hg (0.250, 0.250, 0.250) [8 per cell]
Pb (0.000, 0.000, 0.000) [4 per cell]
F (0.000, 0.000, 0.500) [4 per cell]

VASP calculation (PBE-GGA) on an optimized crystal structure of LiFeTe2.

V: 98.9 Å³/cell
uncorrected formation energy: -0.16 eV per atom
final energy: -4.32 eV per atom

Unit cell a=3.662 b=3.662 c=7.372 alpha=90.00 beta=90.00 gamma=90.00
Space group P4mm (No. 99)
Symmetry-distinct sites (fractional):
Li (0.000, 0.000, 0.000) [1 per cell]
Fe (0.500, 0.500, 0.778) [1 per cell]
Te (0.000, 0.000, 0.634) [1 per cell]
Te (0.500, 0.500, 0.130) [1 per cell]

VASP calculation (PBE-GGA) on an optimized crystal structure of KTa3Co.

calculated formation energy: 15.97 eV/f.u.
V: 95.0 Å³/cell
E above lowest polymorph: 1939 meV per atom
final energy: -5.56 eV per atom

Unit cell a=4.562 b=4.562 c=4.562 alpha=90.00 beta=90.00 gamma=90.00
Space group Pm-3m (No. 221)
Symmetry-distinct sites (fractional):
K (0.000, 0.000, 0.000) [1 per cell]
Ta (0.000, 0.000, 0.500) [3 per cell]
Co (0.500, 0.500, 0.500) [1 per cell]

VASP calculation (PBE-GGA) on an optimized crystal structure of MoSeCl2.

V: 180.7 Å³/cell
E above lowest polymorph: 684 meV per atom
uncorrected formation energy: 0.12 eV per atom
final energy: -4.38 eV per atom

Unit cell a=3.238 b=6.064 c=9.203 alpha=90.00 beta=90.00 gamma=90.00
Space group Cmm2 (No. 35)
Symmetry-distinct sites (fractional):
Mo (0.000, 0.000, 0.000) [2 per cell]
Se (0.000, 0.500, 0.805) [2 per cell]
Cl (0.000, 0.000, 0.554) [2 per cell]
Cl (0.000, 0.500, 0.204) [2 per cell]

VASP calculation (PBE-GGA) on an optimized crystal structure of PmB4Ir4.

calculated formation energy: -5.04 eV/f.u.
V: 236.1 Å³/cell
E above lowest polymorph: 0 meV per atom
final energy: -7.99 eV per atom

Unit cell a=7.693 b=7.693 c=3.990 alpha=90.00 beta=90.00 gamma=90.00
Space group P4_2/n (No. 86, origin choice 2)
Symmetry-distinct sites (fractional):
Pm (0.250, 0.250, 0.250) [2 per cell]
B (0.029, 0.908, 0.141) [8 per cell]
Ir (0.090, 0.641, 0.140) [8 per cell]

VASP calculation (PBE-GGA) on an optimized crystal structure of LaTl2Cl.

V: 114.3 Å³/cell
E above lowest polymorph: 84 meV per atom
uncorrected formation energy: -0.72 eV per atom
final energy: -3.59 eV per atom

Unit cell a=3.715 b=4.994 c=6.160 alpha=90.00 beta=90.00 gamma=90.00
Space group Pmmm (No. 47)
Symmetry-distinct sites (fractional):
La (0.000, 0.000, 0.000) [1 per cell]
Tl (0.000, 0.500, 0.500) [1 per cell]
Tl (0.500, 0.000, 0.500) [1 per cell]
Cl (0.500, 0.500, 0.000) [1 per cell]

VASP calculation (PBE-GGA) on an optimized crystal structure of K2TlHg3Bi4.

calculated formation energy: -1.33 eV/f.u.
V: 352.6 Å³/cell
final energy: -2.23 eV per atom

Unit cell a=5.325 b=5.325 c=12.437 alpha=90.00 beta=90.00 gamma=90.00
Space group P-4m2 (No. 115)
Symmetry-distinct sites (fractional):
K (0.000, 0.500, 0.247) [2 per cell]
Tl (0.000, 0.000, 0.500) [1 per cell]
Hg (0.000, 0.500, 0.869) [2 per cell]
Hg (0.500, 0.500, 0.500) [1 per cell]
Bi (0.000, 0.000, 0.000) [1 per cell]
Bi (0.000, 0.500, 0.632) [2 per cell]
Bi (0.500, 0.500, 0.000) [1 per cell]

VASP calculation (PBE-GGA) on an optimized crystal structure of TbDy2Se2S2.

V: 375.7 Å³/cell
uncorrected formation energy: -1.46 eV per atom
final energy: -5.61 eV per atom

Unit cell a=5.103 b=5.103 c=14.425 alpha=90.00 beta=90.00 gamma=90.00
Space group I4/mmm (No. 139)
Symmetry-distinct sites (fractional):
Tb (0.000, 0.000, 0.000) [2 per cell]
Dy (0.000, 0.000, 0.381) [4 per cell]
Se (0.000, 0.000, 0.192) [4 per cell]
S (0.000, 0.500, 0.000) [4 per cell]

VASP calculation (PBE-GGA) on an optimized crystal structure of Eu3Ni7B2.

calculated formation energy: -2.74 eV/f.u.
V: 174.2 Å³/cell
final energy: -7.28 eV per atom

Unit cell a=5.2498 b=5.2498 c=7.2999 alpha=90.00 beta=90.00 gamma=120.00
Space group P-6m2 (No. 187)
Symmetry-distinct sites (fractional):
Eu (0.0000, 0.0000, 0.0000) [1 per cell]
Eu (0.0000, 0.0000, 0.5000) [1 per cell]
Eu (0.3333, 0.6667, 0.0000) [1 per cell]
Ni (0.5052, 0.0103, 0.3145) [6 per cell]
Ni (0.6667, 0.3333, 0.0000) [1 per cell]
B (0.3333, 0.6667, 0.5000) [1 per cell]
B (0.6667, 0.3333, 0.5000) [1 per cell]

VASP calculation (PBE-GGA) on an optimized crystal structure of P2WCl.

V: 89.4 Å³/cell
E above lowest polymorph: 347 meV per atom
uncorrected formation energy: 0.22 eV per atom
final energy: -6.19 eV per atom

Unit cell a=3.178 b=3.924 c=7.173 alpha=90.00 beta=91.40 gamma=90.00
Space group Pm (No. 6)
Symmetry-distinct sites (fractional):
P (0.000, 0.000, 0.000) [1 per cell]
P (0.406, 0.500, 0.079) [1 per cell]
W (0.889, 0.500, 0.820) [1 per cell]
Cl (0.837, 0.000, 0.580) [1 per cell]

VASP calculation (PBE-GGA) on an optimized crystal structure of ErGePt4.

calculated formation energy: -4.41 eV/f.u.
V: 214.2 Å³/cell
final energy: -6.29 eV per atom

Unit cell a=4.944 b=6.241 c=7.210 alpha=91.95 beta=100.39 gamma=101.08
Space group P-1 (No. 2)
Symmetry-distinct sites (fractional):
Er (0.234, 0.061, 0.276) [2 per cell]
Ge (0.500, 0.500, 0.000) [1 per cell]
Ge (0.500, 0.500, 0.500) [1 per cell]
Pt (0.117, 0.532, 0.192) [2 per cell]
Pt (0.158, 0.733, 0.544) [2 per cell]
Pt (0.296, 0.831, 0.928) [2 per cell]
Pt (0.322, 0.194, 0.705) [2 per cell]

VASP calculation (PBE-GGA) on an optimized crystal structure of Ba3CdMo.

calculated formation energy: 3.03 eV/f.u.
V: 213.5 Å³/cell
E above lowest polymorph: 0 meV per atom
final energy: -2.90 eV per atom

Unit cell a=5.977 b=5.977 c=5.977 alpha=90.00 beta=90.00 gamma=90.00
Space group Pm-3m (No. 221)
Symmetry-distinct sites (fractional):
Ba (0.000, 0.000, 0.500) [3 per cell]
Cd (0.500, 0.500, 0.500) [1 per cell]
Mo (0.000, 0.000, 0.000) [1 per cell]

VASP calculation (PBE-GGA) on an optimized crystal structure of AgPb2Cl2O2.

V: 309.3 Å³/cell
uncorrected formation energy: -0.86 eV per atom
final energy: -4.27 eV per atom

Unit cell a=12.164 b=3.913 c=7.570 alpha=90.00 beta=120.86 gamma=90.00
Space group C2/m (No. 12)
Symmetry-distinct sites (fractional):
Ag (0.000, 0.000, 0.000) [2 per cell]
Pb (0.191, 0.000, 0.758) [4 per cell]
Cl (0.062, 0.500, 0.302) [4 per cell]
O (0.193, 0.000, 0.071) [4 per cell]

VASP calculation (PBE-GGA) on an optimized crystal structure of AcHgPtRh.

calculated formation energy: -1.66 eV/f.u.
V: 351.4 Å³/cell
final energy: -4.87 eV per atom

Unit cell a=7.056 b=7.056 c=7.056 alpha=90.00 beta=90.00 gamma=90.00
Space group F-43m (No. 216)
Symmetry-distinct sites (fractional):
Ac (0.000, 0.000, 0.000) [4 per cell]
Hg (0.000, 0.000, 0.500) [4 per cell]
Pt (0.250, 0.250, 0.250) [4 per cell]
Rh (0.250, 0.250, 0.750) [4 per cell]

VASP calculation (PBE-GGA) on an optimized crystal structure of SrLiPb3.

calculated formation energy: -1.01 eV/f.u.
V: 149.8 Å³/cell
E above lowest polymorph: 70 meV per atom
final energy: -3.15 eV per atom

Unit cell a=5.312 b=5.312 c=5.312 alpha=90.00 beta=90.00 gamma=90.00
Space group Pm-3m (No. 221)
Symmetry-distinct sites (fractional):
Sr (0.000, 0.000, 0.000) [1 per cell]
Li (0.500, 0.500, 0.500) [1 per cell]
Pb (0.000, 0.500, 0.500) [3 per cell]

VASP calculation (PBE-GGA) on an optimized crystal structure of Li2GdZn.

calculated formation energy: 0.04 eV/f.u.
V: 81.4 Å³/cell
E above lowest polymorph: 12 meV per atom
final energy: -4.79 eV per atom

Unit cell a=3.419 b=3.419 c=6.959 alpha=90.00 beta=90.00 gamma=90.00
Space group P4/mmm (No. 123)
Symmetry-distinct sites (fractional):
Li (0.000, 0.000, 0.187) [2 per cell]
Gd (0.500, 0.500, 0.500) [1 per cell]
Zn (0.500, 0.500, 0.000) [1 per cell]

VASP calculation (PBE-GGA) on an optimized crystal structure of Zr2SbPb.

V: 190.5 Å³/cell
E above lowest polymorph: 25 meV per atom
uncorrected formation energy: -0.32 eV per atom
final energy: -6.55 eV per atom

Unit cell a=4.337 b=5.354 c=8.202 alpha=90.00 beta=90.00 gamma=90.00
Space group Cmmm (No. 65)
Symmetry-distinct sites (fractional):
Zr (0.000, 0.000, 0.237) [4 per cell]
Sb (0.000, 0.500, 0.000) [2 per cell]
Pb (0.000, 0.500, 0.500) [2 per cell]

VASP calculation (PBE-GGA) on an optimized crystal structure of Li2CdFe.

calculated formation energy: 0.83 eV/f.u.
V: 60.7 Å³/cell
final energy: -3.09 eV per atom

Unit cell a=3.114 b=3.114 c=6.263 alpha=90.00 beta=90.00 gamma=90.00
Space group P4/mmm (No. 123)
Symmetry-distinct sites (fractional):
Li (0.000, 0.000, 0.229) [2 per cell]
Cd (0.500, 0.500, 0.500) [1 per cell]
Fe (0.500, 0.500, 0.000) [1 per cell]

VASP calculation (PBE-GGA) on an optimized crystal structure of Cu2AgSe.

V: 125.5 Å³/cell
uncorrected formation energy: 0.24 eV per atom
final energy: -3.39 eV per atom

Unit cell a=5.616 b=7.981 c=2.801 alpha=90.00 beta=90.00 gamma=90.00
Space group Cmmm (No. 65)
Symmetry-distinct sites (fractional):
Cu (0.250, 0.250, 0.000) [4 per cell]
Ag (0.000, 0.000, 0.500) [2 per cell]
Se (0.000, 0.500, 0.500) [2 per cell]

VASP calculation (PBE-GGA) on an optimized crystal structure of Ac4HgRhSe2.

V: 266.1 Å³/cell
uncorrected formation energy: -1.15 eV per atom
final energy: -5.03 eV per atom

Unit cell a=7.721 b=4.412 c=8.192 alpha=90.00 beta=107.52 gamma=90.00
Space group P2/m (No. 10)
Symmetry-distinct sites (fractional):
Ac (0.231, 0.000, 0.261) [2 per cell]
Ac (0.233, 0.500, 0.731) [2 per cell]
Hg (0.500, 0.500, 0.500) [1 per cell]
Rh (0.000, 0.000, 0.500) [1 per cell]
Se (0.000, 0.500, 0.000) [1 per cell]
Se (0.500, 0.000, 0.000) [1 per cell]

VASP calculation (PBE-GGA) on an optimized crystal structure of Na3Mg.

calculated formation energy: 0.41 eV/f.u.
V: 260.1 Å³/cell
final energy: -1.28 eV per atom

Unit cell a=6.383 b=6.383 c=6.383 alpha=90.00 beta=90.00 gamma=90.00
Space group Pm-3n (No. 223)
Symmetry-distinct sites (fractional):
Na (0.000, 0.250, 0.500) [6 per cell]
Mg (0.000, 0.000, 0.000) [2 per cell]

VASP calculation (PBE-GGA) on an optimized crystal structure of SrLi8Ir4.

calculated formation energy: -2.84 eV/f.u.
V: 428.5 Å³/cell
final energy: -4.25 eV per atom

Unit cell a=9.288 b=9.288 c=4.967 alpha=90.00 beta=90.00 gamma=90.00
Space group I4/mmm (No. 139)
Symmetry-distinct sites (fractional):
Sr (0.000, 0.000, 0.000) [2 per cell]
Li (0.000, 0.240, 0.500) [8 per cell]
Li (0.000, 0.340, 0.000) [8 per cell]
Ir (0.250, 0.250, 0.250) [8 per cell]

VASP calculation (PBE-GGA) on an optimized crystal structure of BiPtI2.

V: 434.9 Å³/cell
E above lowest polymorph: 437 meV per atom
uncorrected formation energy: 0.54 eV per atom
final energy: -2.71 eV per atom

Unit cell a=7.576 b=7.576 c=7.576 alpha=90.00 beta=90.00 gamma=90.00
Space group Fm-3m (No. 225)
Symmetry-distinct sites (fractional):
Bi (0.000, 0.000, 0.000) [4 per cell]
Pt (0.000, 0.000, 0.500) [4 per cell]
I (0.250, 0.250, 0.250) [8 per cell]

VASP calculation (PBE-GGA) on an optimized crystal structure of TePt3Rh.

V: 112.8 Å³/cell
E above lowest polymorph: 0 meV per atom
uncorrected formation energy: 1.16 eV per atom
final energy: -4.56 eV per atom

Unit cell a=4.831 b=4.831 c=4.831 alpha=90.00 beta=90.00 gamma=90.00
Space group Pm-3m (No. 221)
Symmetry-distinct sites (fractional):
Te (0.000, 0.000, 0.000) [1 per cell]
Pt (0.000, 0.500, 0.500) [3 per cell]
Rh (0.500, 0.500, 0.500) [1 per cell]